Computed, not measured: a geometry-optimized Be2Nb2CrOs5 structure at the GGA-PBE level of DFT.

Lattice parameters (Å, degrees): 9.353 9.353 3.078 90.00 90.00 90.00
Atoms (fractional coordinates):
Be 0.124 0.376 0.000
Be 0.376 0.876 0.000
Be 0.624 0.124 0.000
Be 0.876 0.624 0.000
Nb 0.175 0.675 0.000
Nb 0.325 0.175 0.000
Nb 0.675 0.825 0.000
Nb 0.825 0.325 0.000
Cr 0.000 0.000 0.000
Cr 0.500 0.500 0.000
Os 0.000 0.500 0.500
Os 0.070 0.206 0.500
Os 0.206 0.930 0.500
Os 0.294 0.430 0.500
Os 0.430 0.706 0.500
Os 0.500 0.000 0.500
Os 0.570 0.294 0.500
Os 0.706 0.570 0.500
Os 0.794 0.070 0.500
Os 0.930 0.794 0.500

Values from the calculation:
SG: P4/mbm, No. 127
ΔE_f: -220 meV per atom
Fermi-level density of states: 0.516 states/eV per atom